# 1
A plane-wave DFT calculation with PBE was carried out for a relaxed DyY3As4 crystal.

The structure belongs to space group Pm-3m (No. 221); the cell edges are 5.827, 5.827 and 5.827 Å and the angles 90.00°, 90.00° and 90.00°. Symmetry generates all atoms from Dy at (0.000, 0.000, 0.000), Y at (0.000, 0.500, 0.500), As at (0.000, 0.000, 0.500) and As at (0.500, 0.500, 0.500).

Its crystal system is cubic. The formation enthalpy at 0 K comes out at -1.56 eV per atom. For the total magnetic moment, the calculation gives 0.00 μB per formula unit.



# 2
A plane-wave DFT calculation with PBE was carried out for a relaxed DyYZr2As4 crystal.

The structure belongs to space group P2/m (No. 10); the cell edges are 6.878, 3.966 and 6.958 Å and the angles 90.00°, 109.29° and 90.00°. Symmetry generates all atoms from Dy at (0.000, 0.000, 0.000), Y at (0.500, 0.500, 0.000), Zr at (0.000, 0.500, 0.500), Zr at (0.500, 0.000, 0.500), As at (0.245, 0.000, 0.737) and As at (0.254, 0.500, 0.263).

Its crystal system is monoclinic. The formation enthalpy at 0 K comes out at -1.32 eV per atom. For the total magnetic moment, the calculation gives 0.00 μB per formula unit.



# 3
A plane-wave DFT calculation with PBE was carried out for a relaxed DyY2ZrAs4 crystal.

The structure belongs to space group P2/m (No. 10); the cell edges are 7.012, 4.047 and 7.012 Å and the angles 90.00°, 109.30° and 90.00°. Symmetry generates all atoms from Dy at (0.000, 0.000, 0.000), Y at (0.000, 0.500, 0.500), Y at (0.500, 0.000, 0.500), Zr at (0.500, 0.500, 0.000), As at (0.255, 0.500, 0.244) and As at (0.260, 0.000, 0.760).

Its crystal system is monoclinic. The formation enthalpy at 0 K comes out at -1.44 eV per atom. For the total magnetic moment, the calculation gives 0.00 μB per formula unit.